1.
# CdIr2

An optimized crystal structure of CdIr2 (GGA-PBEsol, the Alexandria database).

## Properties
Size of the total moment, μB per cell: 0.000
Total DFT energy (no corrections), eV/atom: -6.8212

```
data_CdIr2
_space_group_name_H-M_alt 'I 4/m m m'
_space_group_IT_number 139
_space_group_name_Hall '-I 4 2'
_cell_length_a 2.772
_cell_length_b 2.772
_cell_length_c 12.209
_cell_angle_alpha 90.00
_cell_angle_beta 90.00
_cell_angle_gamma 90.00
loop_
_atom_site_label
_atom_site_fract_x
_atom_site_fract_y
_atom_site_fract_z
Cd1 0.000 0.000 0.000
Ir1 0.000 0.000 0.321
```

2.
# MgSbI3

An optimized crystal structure of MgSbI3 (GGA-PBEsol, the Alexandria database).

## Properties
E_form (uncorrected), meV per atom: -125.0
Size of the total moment, μB per cell: 0.000
Total DFT energy (no corrections), eV/atom: -2.4400

```
data_MgSbI3
_space_group_name_H-M_alt 'P m -3 m'
_space_group_IT_number 221
_space_group_name_Hall '-P 4 2 3'
_cell_length_a 5.512
_cell_length_b 5.512
_cell_length_c 5.512
_cell_angle_alpha 90.00
_cell_angle_beta 90.00
_cell_angle_gamma 90.00
loop_
_atom_site_label
_atom_site_fract_x
_atom_site_fract_y
_atom_site_fract_z
Mg1 0.000 0.000 0.000
Sb1 0.500 0.500 0.500
I1 0.000 0.000 0.500
```

3.
# MnTcTe

An optimized crystal structure of MnTcTe (GGA-PBEsol, the Alexandria database).

## Properties
E_form (uncorrected), meV per atom: 521.5
Size of the total moment, μB per cell: 2.024
Total DFT energy (no corrections), eV/atom: -7.6630

```
data_MnTcTe
_space_group_name_H-M_alt 'P 3 m 1'
_space_group_IT_number 156
_cell_length_a 4.2264
_cell_length_b 4.2264
_cell_length_c 2.9987
_cell_angle_alpha 90.00
_cell_angle_beta 90.00
_cell_angle_gamma 120.00
loop_
_space_group_symop_operation_xyz
'x,y,z'
'-y,x-y,z'
'-x+y,-x,z'
'-y,-x,z'
'-x+y,y,z'
'x,x-y,z'
loop_
_atom_site_label
_atom_site_fract_x
_atom_site_fract_y
_atom_site_fract_z
Mn1 0.0000 0.0000 0.0000
Tc1 0.3333 0.6667 0.4983
Te1 0.6667 0.3333 0.9970
```

4.
# ZrTcW

An optimized crystal structure of ZrTcW (GGA-PBEsol, the Alexandria database).

## Properties
Size of the total moment, μB per cell: 0.001
Total DFT energy (no corrections), eV/atom: -11.5298

```
data_ZrTcW
_space_group_name_H-M_alt 'I 4 m m'
_space_group_IT_number 107
_space_group_name_Hall 'I 4 -2'
_cell_length_a 3.168
_cell_length_b 3.168
_cell_length_c 9.983
_cell_angle_alpha 90.00
_cell_angle_beta 90.00
_cell_angle_gamma 90.00
loop_
_atom_site_label
_atom_site_fract_x
_atom_site_fract_y
_atom_site_fract_z
Zr1 0.000 0.000 0.000
Tc1 0.000 0.000 0.672
W1 0.000 0.000 0.318
```